A plane-wave DFT calculation with GGA-PBE was carried out for a relaxed structure of Be2NiP.

energy = -4.803 eV per atom
ΔE_f = -0.1417 eV/atom
density = 4.58 g/cm³

Lattice parameters (Å, degrees): 4.225 4.227 4.237 133.66 133.64 67.26
Fractional coordinates of all 4 atoms:
Be (0.250, 0.750, 0.500)
Be (0.000, 0.000, 0.000)
Ni (0.499, 0.501, 0.000)
P (0.751, 0.249, 0.500)